# 1
A relaxed structure of Hf3Ti2Ni4. Source: Alexandria, functional PBE.

Summary:
The final energy comes out at -7.97 eV/atom. The symmetry is No. 12.

Cell and atoms, written as POSCAR:
```
Hf3Ti2Ni4
1.0
4.424 -2.033 0.000
4.424 2.033 0.000
-0.906 0.000 8.086
Hf Ti Ni
3 2 4
Direct
0.000 0.000 0.000
0.363 0.363 0.605
0.637 0.637 0.395
0.330 0.330 0.217
0.670 0.670 0.783
0.069 0.069 0.639
0.288 0.288 0.913
0.712 0.712 0.087
0.931 0.931 0.361
```

***

# 2
A relaxed structure of PaTeBr2O6. Source: Alexandria, functional PBE.

Summary:
As for the formation energy from raw total energies: -1.169 eV/atom. The final energy comes out at -5.74 eV/atom. The symmetry is No. 12.

Cell and atoms, written as POSCAR:
```
PaTeBr2O6
1.0
4.171 -4.182 0.000
4.171 4.182 0.000
-4.154 0.000 4.188
Pa Te Br O
1 1 2 6
Direct
0.000 0.000 0.000
0.500 0.500 0.000
0.250 0.750 0.500
0.750 0.250 0.500
0.264 0.264 0.001
0.264 0.736 0.000
0.265 0.265 0.529
0.735 0.735 0.471
0.736 0.264 0.000
0.736 0.736 0.999
```

***

# 3
A relaxed structure of Tm6Mn2Al. Source: Alexandria, functional PBE.

Summary:
The final energy comes out at -5.51 eV/atom. The symmetry is No. 71.

Cell and atoms, written as POSCAR:
```
Tm6Mn2Al
1.0
-4.683 4.697 4.894
4.683 -4.697 4.894
4.683 4.697 -4.894
Tm Mn Al
12 4 2
Direct
0.022 0.814 0.208
0.235 0.525 0.290
0.235 0.945 0.710
0.281 0.312 0.593
0.281 0.688 0.969
0.394 0.186 0.208
0.606 0.814 0.792
0.719 0.312 0.031
0.719 0.688 0.407
0.765 0.055 0.290
0.765 0.475 0.710
0.978 0.186 0.792
0.000 0.119 0.119
0.000 0.881 0.881
0.393 0.393 0.000
0.607 0.607 0.000
0.000 0.500 0.500
0.500 0.000 0.500
```

***

# 4
A relaxed structure of BeH4Ir. Source: Alexandria, functional PBE.

Summary:
The final energy comes out at -4.07 eV/atom. The symmetry is No. 82.

Cell and atoms, written as POSCAR:
```
BeH4Ir
1.0
-1.642 1.642 3.887
1.642 -1.642 3.887
1.642 1.642 -3.887
Be H Ir
1 4 1
Direct
0.000 0.000 0.000
0.208 0.188 0.612
0.404 0.792 0.980
0.575 0.596 0.388
0.812 0.425 0.020
0.750 0.250 0.500
```

***

# 5
A relaxed structure of Nd6C2Br3F. Source: Alexandria, functional PBE.

Summary:
As for the formation energy from raw total energies: -1.169 eV/atom. The final energy comes out at -5.66 eV/atom. The symmetry is No. 12.

Cell and atoms, written as POSCAR:
```
Nd6C2Br3F
1.0
3.307 -5.737 0.000
3.307 5.737 0.000
-2.212 0.000 7.415
Nd C Br F
6 2 3 1
Direct
0.090 0.439 0.815
0.214 0.214 0.185
0.439 0.090 0.815
0.561 0.910 0.185
0.786 0.786 0.815
0.910 0.561 0.185
0.166 0.834 0.000
0.834 0.166 0.000
0.000 0.000 0.500
0.332 0.668 0.500
0.668 0.332 0.500
0.500 0.500 0.000
```

***

# 6
A relaxed structure of SrAsPb. Source: Alexandria, functional PBE.

Summary:
The final energy comes out at -3.76 eV/atom. The symmetry is No. 107.

Cell and atoms, written as POSCAR:
```
SrAsPb
1.0
-1.983 1.983 5.646
1.983 -1.983 5.646
1.983 1.983 -5.646
Sr As Pb
1 1 1
Direct
0.000 0.000 0.000
0.680 0.680 0.000
0.291 0.291 0.000
```

***

# 7
A relaxed structure of LaMn2Ag. Source: Alexandria, functional PBE.

Summary:
The final energy comes out at -6.19 eV/atom. The symmetry is No. 47.

Cell and atoms, written as POSCAR:
```
LaMn2Ag
1.0
3.411 0.000 0.000
0.000 3.425 0.000
0.000 0.000 7.089
La Mn Ag
1 2 1
Direct
0.000 0.000 0.000
0.500 0.500 0.299
0.500 0.500 0.701
0.000 0.000 0.500
```

***

# 8
A relaxed structure of ScNiMo. Source: Alexandria, functional PBE.

Summary:
The final energy comes out at -7.69 eV/atom. The symmetry is No. 107. The calculation puts the energy above the most stable polymorph in this dataset at 0.074 eV/atom.

Cell and atoms, written as POSCAR:
```
ScNiMo
1.0
-1.398 1.398 6.003
1.398 -1.398 6.003
1.398 1.398 -6.003
Sc Ni Mo
1 1 1
Direct
0.000 0.000 0.000
0.664 0.664 0.000
0.307 0.307 0.000
```

***

# 9
A relaxed structure of Cr2CoPd2. Source: Alexandria, functional PBE.

Summary:
The final energy comes out at -6.88 eV/atom. The symmetry is No. 139. The calculation puts the energy above the most stable polymorph in this dataset at 0.015 eV/atom.

Cell and atoms, written as POSCAR:
```
Cr2CoPd2
1.0
-1.586 1.586 6.993
1.586 -1.586 6.993
1.586 1.586 -6.993
Cr Co Pd
2 1 2
Direct
0.250 0.750 0.500
0.750 0.250 0.500
0.000 0.000 0.000
0.401 0.401 0.000
0.599 0.599 0.000
```

***

# 10
A relaxed structure of SbTe3O8. Source: Alexandria, functional PBE.

Summary:
As for the formation energy from raw total energies: -1.057 eV/atom. The final energy comes out at -5.49 eV/atom. The symmetry is No. 206.

Cell and atoms, written as POSCAR:
```
SbTe3O8
1.0
-5.797 5.797 5.797
5.797 -5.797 5.797
5.797 5.797 -5.797
Sb Te O
4 12 32
Direct
0.000 0.000 0.500
0.000 0.500 0.000
0.500 0.000 0.000
0.500 0.500 0.500
0.053 0.250 0.303
0.197 0.447 0.750
0.250 0.303 0.053
0.250 0.803 0.553
0.303 0.053 0.250
0.447 0.750 0.197
0.553 0.250 0.803
0.697 0.947 0.750
0.750 0.197 0.447
0.750 0.697 0.947
0.803 0.553 0.250
0.947 0.750 0.697
0.000 0.325 0.500
0.000 0.675 0.500
0.023 0.451 0.788
0.049 0.072 0.337
0.072 0.337 0.049
0.163 0.235 0.712
0.175 0.175 0.175
0.212 0.977 0.549
0.235 0.712 0.163
0.265 0.428 0.477
0.288 0.837 0.765
0.325 0.500 0.000
0.337 0.049 0.072
0.428 0.477 0.265
0.451 0.788 0.023
0.477 0.265 0.428
0.500 0.000 0.325
0.500 0.000 0.675
0.523 0.735 0.572
0.549 0.212 0.977
0.572 0.523 0.735
0.663 0.951 0.928
0.675 0.500 0.000
0.712 0.163 0.235
0.735 0.572 0.523
0.765 0.288 0.837
0.788 0.023 0.451
0.825 0.825 0.825
0.837 0.765 0.288
0.928 0.663 0.951
0.951 0.928 0.663
0.977 0.549 0.212
```

***

# 11
A relaxed structure of CdHg3S4. Source: Alexandria, functional PBE.

Summary:
As for the formation energy from raw total energies: -0.257 eV/atom. The final energy comes out at -2.55 eV/atom. The symmetry is No. 121. The calculation puts the energy above the most stable polymorph in this dataset at 0.000 eV/atom.

Cell and atoms, written as POSCAR:
```
CdHg3S4
1.0
-2.991 2.991 5.973
2.991 -2.991 5.973
2.991 2.991 -5.973
Cd Hg S
1 3 4
Direct
0.000 0.000 0.000
0.250 0.750 0.500
0.500 0.500 0.000
0.750 0.250 0.500
0.124 0.628 0.000
0.372 0.372 0.496
0.628 0.124 0.000
0.876 0.876 0.504
```

***

# 12
A relaxed structure of NiMo2Os3. Source: Alexandria, functional PBE.

Summary:
The final energy comes out at -10.13 eV/atom. The symmetry is No. 2.

Cell and atoms, written as POSCAR:
```
NiMo2Os3
1.0
4.779 0.000 0.000
-0.002 5.508 0.000
-0.764 -1.403 6.577
Ni Mo Os
2 4 6
Direct
0.244 0.124 0.005
0.756 0.876 0.995
0.359 0.295 0.672
0.361 0.793 0.661
0.639 0.207 0.339
0.641 0.705 0.328
0.140 0.961 0.331
0.144 0.453 0.335
0.239 0.625 0.008
0.761 0.375 0.992
0.856 0.547 0.665
0.860 0.039 0.669
```